# 1
Crystalline La2DyTm4Th at its relaxed geometry, computed with PBE.

Calculated density in g cm⁻³: 8.68
Symmetry: P4/mmm (123)
Volume in Å³ per cell: 257.8
Energy of formation in eV/atom: 0.037
Calculated total energy in eV per atom: -4.93

Cell lengths 5.131, 5.125, 11.061 Å; angles 62.43, 90.00, 90.00 degrees
Fractional positions:
Tm (0.500, 0.254, 0.746)
La (0.500, 0.000, 0.500)
Tm (0.000, 0.754, 0.746)
Dy (0.500, 0.500, 0.000)
Tm (0.000, 0.246, 0.254)
La (0.000, 0.000, 0.000)
Tm (0.500, 0.746, 0.254)
Th (0.000, 0.500, 0.500)

=====

# 2
Crystalline NdYCoCu at its relaxed geometry, computed with PBE.

Calculated density in g cm⁻³: 6.82
Symmetry: Amm2 (38)
Volume in Å³ per cell: 86.6
Energy of formation in eV/atom: -0.154
Energy relative to the lowest polymorph listed for this composition in eV per formula unit: 0.00
Calculated total energy in eV per atom: -5.76

Cell lengths 3.868, 4.254, 5.605 Å; angles 90.00, 110.18, 90.00 degrees
Fractional positions:
Y (0.138, 0.000, 0.276)
Co (0.432, 0.000, 0.865)
Cu (0.569, 0.500, 0.138)
Nd (0.860, 0.500, 0.721)